[1]
ZrAgPb after structural relaxation, computed with GGA-PBE.

The space group is Fmm2 (No. 42) and the conventional cell measures 4.693, 4.704 and 12.419 Å, with angles of 90.00, 90.00 and 90.00 degrees. Symmetry generates all atoms from Zr at (0.000, 0.000, 0.000), Ag at (0.000, 0.000, 0.649) and Pb at (0.000, 0.000, 0.317).

The theoretical density comes out at 9.8 Mg/m³. Its size of the total moment is 0.0000 μB per atom. The calculation puts the energy of formation at 0.02 eV per atom.

[2]
PrNd3Pb3 after structural relaxation, computed with GGA-PBE.

The space group is P6_3/m (No. 176) and the conventional cell measures 9.6155, 9.6155 and 5.6174 Å, with angles of 90.00, 90.00 and 120.00 degrees. Symmetry generates all atoms from Pr at (0.3333, 0.6667, 0.2500), Nd at (0.0033, 0.2408, 0.2500) and Pb at (0.0763, 0.4535, 0.7500).

The theoretical density comes out at 8.8 Mg/m³. Its size of the total moment is 0.0000 μB per atom. The calculation puts the energy of formation at -0.39 eV per atom.

[3]
LiTi2HPd after structural relaxation, computed with GGA-PBE.

The space group is P4/mmm (No. 123) and the conventional cell measures 3.978, 3.978 and 3.969 Å, with angles of 90.00, 90.00 and 90.00 degrees. Symmetry generates all atoms from Li at (0.000, 0.000, 0.000), Ti at (0.000, 0.500, 0.500), H at (0.000, 0.000, 0.500) and Pd at (0.500, 0.500, 0.000).

The theoretical density comes out at 5.6 Mg/m³. Its size of the total moment is 0.0000 μB per atom. The energy comes out at -5.525 eV per atom.

Question: What is the size of the total moment in the third record?
Answer: 0.0000 μB per atom